(1)
A relaxed structure of YTaSi2, computed with GGA-PBEsol.

```
4
Lattice="3.279 0.000 0.000 0.000 3.279 0.000 0.000 0.000 6.817" Properties=species:S:1:pos:R:3 pbc="T T T"
Si 0.000 0.000 0.401
Si 1.640 1.640 1.669
Ta 0.000 0.000 2.942
Y 1.640 1.640 5.214
```

Properties
Polymorph energy (0 for the lowest one) ... 0.49 eV per formula unit
Raw formation energy ... -0.16 eV/atom

---

(2)
A relaxed structure of YTa4Si, computed with GGA-PBEsol.

```
6
Lattice="5.498 0.000 0.000 2.749 4.761 0.000 2.749 1.587 4.489" Properties=species:S:1:pos:R:3 pbc="T T T"
Si 0.000 0.000 0.000
Ta 4.140 2.390 1.690
Ta 5.498 3.174 3.907
Ta 6.855 2.390 1.690
Ta 5.498 4.742 1.690
Y 8.246 4.761 3.367
```

Properties
Raw formation energy ... 0.40 eV/atom

---

(3)
A relaxed structure of YTaSi3, computed with GGA-PBEsol.

```
5
Lattice="4.764 0.000 0.000 0.000 4.764 0.000 0.000 0.000 4.764" Properties=species:S:1:pos:R:3 pbc="T T T"
Y 2.382 2.382 2.382
Si 0.000 2.382 0.000
Si 0.000 0.000 2.382
Si 2.382 0.000 0.000
Ta 0.000 0.000 0.000
```

Properties
Raw formation energy ... 0.13 eV/atom

---

(4)
A relaxed structure of TaZnSi2, computed with GGA-PBEsol.

```
4
Lattice="-1.844 -1.968 -1.130 -0.416 -2.558 1.353 -6.891 1.768 4.382" Properties=species:S:1:pos:R:3 pbc="T T T"
Si -2.255 -0.707 1.128
Si -6.896 -2.051 3.477
Ta -4.575 -1.379 2.303
Zn 0.000 0.000 0.000
```

Properties
Raw formation energy ... -0.01 eV/atom

---

(5)
A relaxed structure of TaZnSi, computed with GGA-PBEsol.

```
3
Lattice="4.138 0.000 0.000 2.069 3.584 0.000 2.069 1.195 3.379" Properties=species:S:1:pos:R:3 pbc="T T T"
Si 6.208 3.584 2.534
Ta 0.000 0.000 0.000
Zn 4.138 2.389 1.689
```

Properties
Raw formation energy ... 0.32 eV/atom

---

(6)
A relaxed structure of TaZnSi, computed with GGA-PBEsol.

```
3
Lattice="4.250 0.000 0.000 2.125 3.680 0.000 2.125 1.227 3.470" Properties=species:S:1:pos:R:3 pbc="T T T"
Si 4.250 2.454 1.735
Ta 6.374 3.680 2.602
Zn 0.000 0.000 0.000
```

Properties
Raw formation energy ... 0.49 eV/atom

---

(7)
A relaxed structure of TaZnSi2, computed with GGA-PBEsol.

```
4
Lattice="2.728 0.000 0.000 0.000 2.728 0.000 0.000 0.000 8.032" Properties=species:S:1:pos:R:3 pbc="T T T"
Si 0.000 0.000 8.022
Si 1.364 1.364 2.010
Ta 0.000 0.000 3.977
Zn 1.364 1.364 6.070
```

Properties
Raw formation energy ... 0.12 eV/atom

---

(8)
A relaxed structure of Ta2ZnSi, computed with GGA-PBEsol.

```
4
Lattice="4.453 0.000 0.000 2.227 3.857 0.000 2.227 1.286 3.636" Properties=species:S:1:pos:R:3 pbc="T T T"
Si 4.453 2.571 1.818
Ta 0.000 0.000 0.000
Ta 6.680 3.857 2.727
Zn 2.227 1.286 0.909
```

Properties
Raw formation energy ... 0.27 eV/atom